# BaMgRh2, PBEsol geometry, DFT SCAN
data_BaMgRh2
_cell_length_a 3.348
_cell_length_b 3.348
_cell_length_c 6.974
_cell_angle_alpha 90.00
_cell_angle_beta 90.00
_cell_angle_gamma 90.00
_symmetry_space_group_name_H-M 'P 4/m m m'
_symmetry_Int_Tables_number 123
_symmetry_space_group_name_Hall '-P 4 2'
loop_
_atom_site_label
_atom_site_type_symbol
_atom_site_fract_x
_atom_site_fract_y
_atom_site_fract_z
Ba1 Ba 0.000 0.000 0.000
Mg1 Mg 0.000 0.000 0.500
Rh1 Rh 0.500 0.500 0.304
# - formation energy from the elements (eV per atom) = -0.035
# - crystal system = tetragonal
# - density of states at the Fermi level (states/eV/f.u.) = 2.6
# - volume (Å³ per cell) = 78.2



# BaTi5O11, PBEsol geometry, DFT SCAN
data_BaTi5O11
_cell_length_a 7.532
_cell_length_b 14.048
_cell_length_c 9.909
_cell_angle_alpha 90.00
_cell_angle_beta 130.28
_cell_angle_gamma 90.00
_symmetry_space_group_name_H-M 'P 1 21/c 1'
_symmetry_Int_Tables_number 14
_symmetry_space_group_name_Hall '-P 2ybc'
loop_
_atom_site_label
_atom_site_type_symbol
_atom_site_fract_x
_atom_site_fract_y
_atom_site_fract_z
Ba1 Ba 0.032 0.083 0.232
Ti1 Ti 0.023 0.661 0.655
Ti2 Ti 0.239 0.174 0.690
Ti3 Ti 0.294 0.661 0.051
Ti4 Ti 0.476 0.509 0.731
Ti5 Ti 0.491 0.175 0.071
O1 O 0.013 0.748 0.005
O2 O 0.018 0.603 0.839
O3 O 0.210 0.571 0.670
O4 O 0.234 0.240 0.871
O5 O 0.249 0.087 0.027
O6 O 0.264 0.742 0.874
O7 O 0.280 0.083 0.582
O8 O 0.297 0.591 0.227
O9 O 0.481 0.242 0.244
O10 O 0.492 0.075 0.394
O11 O 0.499 0.098 0.912
# - crystal system = monoclinic
# - density of states at the Fermi level (states/eV/f.u.) = 0.0
# - raw formation energy (kJ/mol of formula units) = -5521
# - volume (Å³ per cell) = 799.9



# Ge2Mo, PBEsol geometry, DFT SCAN
data_Ge2Mo
_cell_length_a 6.318
_cell_length_b 3.432
_cell_length_c 8.546
_cell_angle_alpha 90.00
_cell_angle_beta 90.00
_cell_angle_gamma 90.00
_symmetry_space_group_name_H-M 'P n m a'
_symmetry_Int_Tables_number 62
_symmetry_space_group_name_Hall '-P 2ac 2n'
loop_
_atom_site_label
_atom_site_type_symbol
_atom_site_fract_x
_atom_site_fract_y
_atom_site_fract_z
Ge1 Ge 0.062 0.250 0.132
Ge2 Ge 0.136 0.250 0.541
Mo1 Mo 0.249 0.750 0.329
# - formation energy from the elements (eV per atom) = -0.206
# - crystal system = orthorhombic
# - density of states at the Fermi level (states/eV/f.u.) = 0.3
# - volume (Å³ per cell) = 185.3



# AlZnSb2, PBEsol geometry, DFT SCAN
data_AlZnSb2
_cell_length_a 6.149
_cell_length_b 6.149
_cell_length_c 11.951
_cell_angle_alpha 90.00
_cell_angle_beta 90.00
_cell_angle_gamma 90.00
_symmetry_space_group_name_H-M 'I -4 2 d'
_symmetry_Int_Tables_number 122
_symmetry_space_group_name_Hall 'I -4 2bw'
loop_
_atom_site_label
_atom_site_type_symbol
_atom_site_fract_x
_atom_site_fract_y
_atom_site_fract_z
Al1 Al 0.000 0.000 0.000
Zn1 Zn 0.000 0.000 0.500
Sb1 Sb 0.242 0.250 0.625
# - crystal system = tetragonal
# - density of states at the Fermi level (states/eV/f.u.) = 2.2
# - ΔE to the lowest computed polymorph (eV/atom) = 0.000
# - raw formation energy (kJ/mol of formula units) = -9
# - volume (Å³ per cell) = 451.8



# TlAg2Hg, PBEsol geometry, DFT SCAN
data_TlAg2Hg
_cell_length_a 6.855
_cell_length_b 6.855
_cell_length_c 6.855
_cell_angle_alpha 90.00
_cell_angle_beta 90.00
_cell_angle_gamma 90.00
_symmetry_space_group_name_H-M 'F -4 3 m'
_symmetry_Int_Tables_number 216
_symmetry_space_group_name_Hall 'F -4 2 3'
loop_
_atom_site_label
_atom_site_type_symbol
_atom_site_fract_x
_atom_site_fract_y
_atom_site_fract_z
Tl1 Tl 0.000 0.000 0.000
Ag1 Ag 0.000 0.000 0.500
Ag2 Ag 0.250 0.250 0.250
Hg1 Hg 0.250 0.250 0.750
# - formation energy from the elements (eV per atom) = 0.140
# - crystal system = cubic
# - density of states at the Fermi level (states/eV/f.u.) = 0.5
# - volume (Å³ per cell) = 322.1



# K2AlH2OF5, PBEsol geometry, DFT SCAN
data_K2AlH2OF5
_cell_length_a 9.434
_cell_length_b 7.871
_cell_length_c 7.506
_cell_angle_alpha 90.00
_cell_angle_beta 90.00
_cell_angle_gamma 90.00
_symmetry_space_group_name_H-M 'C m c m'
_symmetry_Int_Tables_number 63
_symmetry_space_group_name_Hall '-C 2c 2'
loop_
_atom_site_label
_atom_site_type_symbol
_atom_site_fract_x
_atom_site_fract_y
_atom_site_fract_z
K1 K 0.205 0.200 0.250
Al1 Al 0.000 0.500 0.000
H1 H 0.000 0.132 0.645
O1 O 0.000 0.055 0.750
F1 F 0.000 0.272 0.018
F2 F 0.000 0.483 0.750
F3 F 0.190 0.500 0.000
# - crystal system = orthorhombic
# - density of states at the Fermi level (states/eV/f.u.) = 0.0
# - volume (Å³ per cell) = 557.4



# TlRuBr3, PBEsol geometry, DFT SCAN
data_TlRuBr3
_cell_length_a 5.537
_cell_length_b 5.537
_cell_length_c 5.537
_cell_angle_alpha 90.00
_cell_angle_beta 90.00
_cell_angle_gamma 90.00
_symmetry_space_group_name_H-M 'P m -3 m'
_symmetry_Int_Tables_number 221
_symmetry_space_group_name_Hall '-P 4 2 3'
loop_
_atom_site_label
_atom_site_type_symbol
_atom_site_fract_x
_atom_site_fract_y
_atom_site_fract_z
Tl1 Tl 0.000 0.000 0.000
Ru1 Ru 0.500 0.500 0.500
Br1 Br 0.000 0.000 0.500
# - crystal system = cubic
# - density of states at the Fermi level (states/eV/f.u.) = 1.1
# - raw formation energy (kJ/mol of formula units) = 275
# - volume (Å³ per cell) = 169.8



# K5HC2N4, PBEsol geometry, DFT SCAN
data_K5HC2N4
_cell_length_a 8.977
_cell_length_b 8.977
_cell_length_c 11.002
_cell_angle_alpha 90.00
_cell_angle_beta 90.00
_cell_angle_gamma 90.00
_symmetry_space_group_name_H-M 'P 4/n c c'
_symmetry_Int_Tables_number 130
loop_
_symmetry_equiv_pos_as_xyz
'x,y,z'
'-x,-y,-z'
'-y+1/2,x,z'
'y+1/2,-x,-z'
'-x+1/2,-y+1/2,z'
'x+1/2,y+1/2,-z'
'y,-x+1/2,z'
'-y,x+1/2,-z'
'x+1/2,-y,-z+1/2'
'-x+1/2,y,z+1/2'
'-y,-x,-z+1/2'
'y,x,z+1/2'
'-x,y+1/2,-z+1/2'
'x,-y+1/2,z+1/2'
'y+1/2,x+1/2,-z+1/2'
'-y+1/2,-x+1/2,z+1/2'
loop_
_atom_site_label
_atom_site_type_symbol
_atom_site_fract_x
_atom_site_fract_y
_atom_site_fract_z
K1 K 0.045 0.646 0.100
K2 K 0.250 0.250 0.151
H1 H 0.250 0.250 0.402
C1 C 0.103 0.603 0.750
N1 N 0.056 0.651 0.849
# - crystal system = tetragonal
# - density of states at the Fermi level (states/eV/f.u.) = 0.0
# - volume (Å³ per cell) = 886.7



# Pt2Rh, PBEsol geometry, DFT SCAN
data_Pt2Rh
_cell_length_a 5.900
_cell_length_b 5.900
_cell_length_c 5.900
_cell_angle_alpha 90.00
_cell_angle_beta 90.00
_cell_angle_gamma 90.00
_symmetry_space_group_name_H-M 'F m -3 m'
_symmetry_Int_Tables_number 225
_symmetry_space_group_name_Hall '-F 4 2 3'
loop_
_atom_site_label
_atom_site_type_symbol
_atom_site_fract_x
_atom_site_fract_y
_atom_site_fract_z
Pt1 Pt 0.250 0.250 0.250
Rh1 Rh 0.000 0.000 0.000
# - formation energy from the elements (eV per atom) = 0.484
# - crystal system = cubic
# - density of states at the Fermi level (states/eV/f.u.) = 5.3
# - volume (Å³ per cell) = 205.4



# La2YAl, PBEsol geometry, DFT SCAN
data_La2YAl
_cell_length_a 3.505
_cell_length_b 4.462
_cell_length_c 7.076
_cell_angle_alpha 90.00
_cell_angle_beta 90.00
_cell_angle_gamma 90.00
_symmetry_space_group_name_H-M 'P m m 2'
_symmetry_Int_Tables_number 25
_symmetry_space_group_name_Hall 'P 2 -2'
loop_
_atom_site_label
_atom_site_type_symbol
_atom_site_fract_x
_atom_site_fract_y
_atom_site_fract_z
La1 La 0.000 0.000 0.000
La2 La 0.500 0.500 0.265
Y1 Y 0.000 0.000 0.555
Al1 Al 0.500 0.500 0.758
# - formation energy from the elements (eV per atom) = -0.157
# - crystal system = orthorhombic
# - density of states at the Fermi level (states/eV/f.u.) = 4.4
# - volume (Å³ per cell) = 110.7



# CsBeAsO4, PBEsol geometry, DFT SCAN
data_CsBeAsO4
_cell_length_a 9.428
_cell_length_b 8.845
_cell_length_c 5.152
_cell_angle_alpha 90.00
_cell_angle_beta 90.00
_cell_angle_gamma 90.00
_symmetry_space_group_name_H-M 'P n a 21'
_symmetry_Int_Tables_number 33
_symmetry_space_group_name_Hall 'P 2c -2n'
loop_
_atom_site_label
_atom_site_type_symbol
_atom_site_fract_x
_atom_site_fract_y
_atom_site_fract_z
Cs1 Cs 0.006 0.184 0.000
Be1 Be 0.171 0.404 0.501
As1 As 0.175 0.585 0.999
O1 O 0.000 0.374 0.482
O2 O 0.223 0.440 0.796
O3 O 0.225 0.540 0.309
O4 O 0.239 0.244 0.401
# - crystal system = orthorhombic
# - density of states at the Fermi level (states/eV/f.u.) = 0.0
# - raw formation energy (kJ/mol of formula units) = -1425
# - volume (Å³ per cell) = 429.7



# LiCoSb2, PBEsol geometry, DFT SCAN
data_LiCoSb2
_cell_length_a 3.157
_cell_length_b 3.157
_cell_length_c 7.310
_cell_angle_alpha 90.00
_cell_angle_beta 90.00
_cell_angle_gamma 90.00
_symmetry_space_group_name_H-M 'P 4 m m'
_symmetry_Int_Tables_number 99
_symmetry_space_group_name_Hall 'P 4 -2'
loop_
_atom_site_label
_atom_site_type_symbol
_atom_site_fract_x
_atom_site_fract_y
_atom_site_fract_z
Li1 Li 0.000 0.000 0.000
Co1 Co 0.500 0.500 0.828
Sb1 Sb 0.000 0.000 0.638
Sb2 Sb 0.500 0.500 0.217
# - crystal system = tetragonal
# - density of states at the Fermi level (states/eV/f.u.) = 2.1
# - ΔE to the lowest computed polymorph (eV/atom) = 0.040
# - raw formation energy (kJ/mol of formula units) = 1
# - volume (Å³ per cell) = 72.9



# TaTl2Cr, PBEsol geometry, DFT SCAN
data_TaTl2Cr
_cell_length_a 4.098
_cell_length_b 4.098
_cell_length_c 9.173
_cell_angle_alpha 90.00
_cell_angle_beta 90.00
_cell_angle_gamma 90.00
_symmetry_space_group_name_H-M 'I -4 m 2'
_symmetry_Int_Tables_number 119
_symmetry_space_group_name_Hall 'I -4 -2'
loop_
_atom_site_label
_atom_site_type_symbol
_atom_site_fract_x
_atom_site_fract_y
_atom_site_fract_z
Ta1 Ta 0.000 0.000 0.000
Tl1 Tl 0.000 0.000 0.500
Tl2 Tl 0.000 0.500 0.250
Cr1 Cr 0.000 0.500 0.750
# - formation energy from the elements (eV per atom) = 0.560
# - crystal system = tetragonal
# - density of states at the Fermi level (states/eV/f.u.) = 1.3
# - ΔE to the lowest computed polymorph (eV/atom) = 0.052
# - volume (Å³ per cell) = 154.1



# Ce3Ga, PBEsol geometry, DFT SCAN
data_Ce3Ga
_cell_length_a 4.524
_cell_length_b 4.524
_cell_length_c 4.524
_cell_angle_alpha 90.00
_cell_angle_beta 90.00
_cell_angle_gamma 90.00
_symmetry_space_group_name_H-M 'P m -3 m'
_symmetry_Int_Tables_number 221
_symmetry_space_group_name_Hall '-P 4 2 3'
loop_
_atom_site_label
_atom_site_type_symbol
_atom_site_fract_x
_atom_site_fract_y
_atom_site_fract_z
Ce1 Ce 0.000 0.000 0.500
Ga1 Ga 0.500 0.500 0.500
# - formation energy from the elements (eV per atom) = -0.327
# - crystal system = cubic
# - density of states at the Fermi level (states/eV/f.u.) = 6.5
# - volume (Å³ per cell) = 92.6



# Mg2MnFe, PBEsol geometry, DFT SCAN
data_Mg2MnFe
_cell_length_a 3.946
_cell_length_b 3.946
_cell_length_c 3.907
_cell_angle_alpha 90.00
_cell_angle_beta 90.00
_cell_angle_gamma 90.00
_symmetry_space_group_name_H-M 'P 4/m m m'
_symmetry_Int_Tables_number 123
_symmetry_space_group_name_Hall '-P 4 2'
loop_
_atom_site_label
_atom_site_type_symbol
_atom_site_fract_x
_atom_site_fract_y
_atom_site_fract_z
Mg1 Mg 0.000 0.500 0.000
Mn1 Mn 0.000 0.000 0.500
Fe1 Fe 0.500 0.500 0.500
# - formation energy from the elements (eV per atom) = 0.150
# - crystal system = tetragonal
# - density of states at the Fermi level (states/eV/f.u.) = 2.2
# - ΔE to the lowest computed polymorph (eV/atom) = 0.000
# - volume (Å³ per cell) = 60.8



# SiHgTe2I, PBEsol geometry, DFT SCAN
data_SiHgTe2I
_cell_length_a 5.525
_cell_length_b 5.525
_cell_length_c 5.558
_cell_angle_alpha 90.00
_cell_angle_beta 90.00
_cell_angle_gamma 90.00
_symmetry_space_group_name_H-M 'P 4/m m m'
_symmetry_Int_Tables_number 123
_symmetry_space_group_name_Hall '-P 4 2'
loop_
_atom_site_label
_atom_site_type_symbol
_atom_site_fract_x
_atom_site_fract_y
_atom_site_fract_z
Si1 Si 0.000 0.000 0.000
Hg1 Hg 0.500 0.500 0.500
Te1 Te 0.000 0.500 0.500
I1 I 0.500 0.500 0.000
# - crystal system = tetragonal
# - density of states at the Fermi level (states/eV/f.u.) = 3.1
# - raw formation energy (kJ/mol of formula units) = 446
# - volume (Å³ per cell) = 169.7



# ZnGa2P, PBEsol geometry, DFT SCAN
data_ZnGa2P
_cell_length_a 6.449
_cell_length_b 6.449
_cell_length_c 6.449
_cell_angle_alpha 90.00
_cell_angle_beta 90.00
_cell_angle_gamma 90.00
_symmetry_space_group_name_H-M 'F m -3 m'
_symmetry_Int_Tables_number 225
_symmetry_space_group_name_Hall '-F 4 2 3'
loop_
_atom_site_label
_atom_site_type_symbol
_atom_site_fract_x
_atom_site_fract_y
_atom_site_fract_z
Zn1 Zn 0.000 0.000 0.000
Ga1 Ga 0.250 0.250 0.250
P1 P 0.000 0.000 0.500
# - formation energy from the elements (eV per atom) = 0.366
# - crystal system = cubic
# - density of states at the Fermi level (states/eV/f.u.) = 1.3
# - volume (Å³ per cell) = 268.2



# Sr2MgIn2, PBEsol geometry, DFT SCAN
data_Sr2MgIn2
_cell_length_a 8.018
_cell_length_b 8.018
_cell_length_c 5.013
_cell_angle_alpha 90.00
_cell_angle_beta 90.00
_cell_angle_gamma 90.00
_symmetry_space_group_name_H-M 'P 4/m b m'
_symmetry_Int_Tables_number 127
_symmetry_space_group_name_Hall '-P 4 2ab'
loop_
_atom_site_label
_atom_site_type_symbol
_atom_site_fract_x
_atom_site_fract_y
_atom_site_fract_z
Sr1 Sr 0.170 0.330 0.000
Mg1 Mg 0.000 0.000 0.500
In1 In 0.132 0.632 0.500
# - formation energy from the elements (eV per atom) = -0.411
# - crystal system = tetragonal
# - density of states at the Fermi level (states/eV/f.u.) = 3.9
# - volume (Å³ per cell) = 322.3



# BaBi3As, PBEsol geometry, DFT SCAN
data_BaBi3As
_cell_length_a 5.606
_cell_length_b 5.606
_cell_length_c 5.606
_cell_angle_alpha 90.00
_cell_angle_beta 90.00
_cell_angle_gamma 90.00
_symmetry_space_group_name_H-M 'P m -3 m'
_symmetry_Int_Tables_number 221
_symmetry_space_group_name_Hall '-P 4 2 3'
loop_
_atom_site_label
_atom_site_type_symbol
_atom_site_fract_x
_atom_site_fract_y
_atom_site_fract_z
Ba1 Ba 0.000 0.000 0.000
Bi1 Bi 0.000 0.500 0.500
As1 As 0.500 0.500 0.500
# - formation energy from the elements (eV per atom) = -0.069
# - crystal system = cubic
# - density of states at the Fermi level (states/eV/f.u.) = 4.4
# - volume (Å³ per cell) = 176.2



Energy, respectively: -28.052 -14.439 -24.560 -23.970 -50.675 -7.855 -32.543 -9.106 -57.569 -30.608 -14.578 -23.553 -56.861 -37.836 -11.433 -36.961 -13.785 -23.670 -59.165 eV/atom.